[1]
# YURu3

A geometry-optimized YURu3 structure (PBE, Alexandria via LeMat-Bulk).

```
10
Lattice="-2.9160 3.7401 4.3789 2.9160 -3.7401 4.3789 2.9160 3.7401 -4.3789" Properties=species:S:1:pos:R:3 pbc="T T T"
Y 0.0000 1.8701 0.0303
Y 2.9160 1.8701 4.3486
U 2.9160 0.0000 0.0000
U 0.0000 0.0000 4.3789
Ru 2.9160 1.8701 -1.5995
Ru 1.4580 4.1914 -2.1895
Ru 1.4580 0.4512 2.1895
Ru -1.4580 3.2889 2.1895
Ru 1.4580 3.2889 2.1895
Ru 0.0000 1.8701 5.9784
```

Output
**D(E_F)**: 1.250 states/eV/atom
**Relative energy among the computed polymorphs**: 0 meV per atom
**Total moment**: 0.00 Bohr magnetons per cell
**Energy of formation from the pure elements**: -5.35 kcal/mol of atoms

[2]
# Y5U2Ru5

A geometry-optimized Y5U2Ru5 structure (PBE, Alexandria via LeMat-Bulk).

```
12
Lattice="4.9622 0.0000 0.0000 1.8085 4.7393 0.0000 2.4025 1.2776 11.6001" Properties=species:S:1:pos:R:3 pbc="T T T"
Y 0.0000 0.0000 0.0000
Y 2.3393 1.5033 5.2368
Y 2.3675 1.6847 1.7868
Y 6.8058 4.3322 9.8132
Y 6.8340 4.5136 6.3633
U 4.1637 2.3328 8.2573
U 5.0096 3.6840 3.3428
Ru 4.4471 5.0225 8.1367
Ru 4.4821 2.9120 10.5277
Ru 4.5866 3.0084 5.8000
Ru 4.6911 3.1049 1.0723
Ru 4.7261 0.9943 3.4634
```

Output
**D(E_F)**: 1.084 states/eV/atom
**Total moment**: 1.91 Bohr magnetons per cell
**Energy of formation from the pure elements**: -4.84 kcal/mol of atoms

[3]
# YU2Ru2

A geometry-optimized YU2Ru2 structure (PBE, Alexandria via LeMat-Bulk).

```
10
Lattice="7.7398 -2.3613 0.0000 7.7398 2.3613 0.0000 -1.7773 0.0000 5.6509" Properties=species:S:1:pos:R:3 pbc="T T T"
Y 6.4068 1.3532 4.2382
Y 7.2954 -1.3532 1.4127
U 2.0255 0.6030 3.6748
U 2.9142 -0.6030 0.8493
U 10.7881 0.6030 4.8016
U 11.6767 -0.6030 1.9762
Ru 5.7532 0.8975 0.4539
Ru 8.8377 0.8975 2.3716
Ru 4.8645 -0.8975 3.2794
Ru 7.9491 -0.8975 5.1970
```

Output
**D(E_F)**: 1.352 states/eV/atom
**Total moment**: 0.00 Bohr magnetons per cell
**Energy of formation from the pure elements**: -4.57 kcal/mol of atoms

[4]
# Y2U2Ru5

A geometry-optimized Y2U2Ru5 structure (PBE, Alexandria via LeMat-Bulk).

```
18
Lattice="6.2115 -4.0162 0.0000 6.2115 4.0162 0.0000 0.0000 0.0000 7.1903" Properties=species:S:1:pos:R:3 pbc="T T T"
Y 2.8020 0.0000 0.0000
Y 3.4095 0.0000 3.5951
Y 9.0135 0.0000 3.5951
Y 9.6210 0.0000 0.0000
U 6.2115 3.0643 4.5453
U 6.2115 0.9518 0.9502
U 6.2115 -0.9518 6.2401
U 6.2115 -3.0643 2.6450
Ru 0.0000 0.0000 0.0000
Ru 4.7421 2.5031 2.1689
Ru 4.7421 1.5131 5.7640
Ru 7.6809 2.5031 2.1689
Ru 7.6809 1.5131 5.7640
Ru 6.2115 0.0000 3.5951
Ru 4.7421 -1.5131 1.4263
Ru 4.7421 -2.5031 5.0214
Ru 7.6809 -1.5131 1.4263
Ru 7.6809 -2.5031 5.0214
```

Output
**D(E_F)**: 0.978 states/eV/atom
**Total moment**: 0.00 Bohr magnetons per cell
**Energy of formation from the pure elements**: -2.65 kcal/mol of atoms

[5]
# YU2Ru4

A geometry-optimized YU2Ru4 structure (PBE, Alexandria via LeMat-Bulk).

```
14
Lattice="8.1492 0.0000 0.0000 0.0000 8.1492 0.0000 0.0000 0.0000 4.1103" Properties=species:S:1:pos:R:3 pbc="T T T"
Y 0.0000 0.0000 0.0000
Y 4.0746 4.0746 2.0551
U 1.8260 1.8260 2.0551
U 2.2486 5.9006 0.0000
U 5.9006 2.2486 0.0000
U 6.3233 6.3233 2.0551
Ru 0.4666 5.5911 2.0551
Ru 1.5165 3.6080 0.0000
Ru 2.5581 7.6826 2.0551
Ru 3.6080 1.5165 0.0000
Ru 4.5413 6.6327 0.0000
Ru 5.5911 0.4666 2.0551
Ru 6.6327 4.5413 0.0000
Ru 7.6826 2.5581 2.0551
```

Output
**D(E_F)**: 0.816 states/eV/atom
**Total moment**: 0.00 Bohr magnetons per cell
**Energy of formation from the pure elements**: -1.03 kcal/mol of atoms

[6]
# Y2ZrU2Ru5

A geometry-optimized Y2ZrU2Ru5 structure (PBE, Alexandria via LeMat-Bulk).

```
20
Lattice="10.5240 0.0000 0.0000 0.0000 10.5240 0.0000 0.0000 0.0000 3.5306" Properties=species:S:1:pos:R:3 pbc="T T T"
Y 1.8333 3.4286 0.0000
Y 3.4286 8.6906 0.0000
Y 7.0953 1.8333 0.0000
Y 8.6906 7.0953 0.0000
Zr 0.0000 0.0000 0.0000
Zr 5.2620 5.2620 0.0000
U 1.4480 6.7100 0.0000
U 3.8140 1.4480 0.0000
U 6.7100 9.0759 0.0000
U 9.0759 3.8140 0.0000
Ru 0.0000 5.2620 1.7653
Ru 0.5327 8.3601 1.7653
Ru 2.1638 0.5327 1.7653
Ru 3.0981 5.7947 1.7653
Ru 4.7292 3.0981 1.7653
Ru 5.2620 0.0000 1.7653
Ru 5.7947 7.4258 1.7653
Ru 7.4258 4.7292 1.7653
Ru 8.3601 9.9912 1.7653
Ru 9.9912 2.1638 1.7653
```

Output
**D(E_F)**: 0.753 states/eV/atom
**Total moment**: 0.00 Bohr magnetons per cell
**Energy of formation from the pure elements**: -6.53 kcal/mol of atoms

[7]
# U2Zn16Ru

A geometry-optimized U2Zn16Ru structure (PBE, Alexandria via LeMat-Bulk).

```
19
Lattice="4.5443 2.6237 4.2777 -4.5443 2.6237 4.2777 0.0000 -5.2473 4.2777" Properties=species:S:1:pos:R:3 pbc="T T T"
U 0.0000 0.0000 0.0000
U 0.0000 0.0000 4.4155
Zn 0.0000 -2.5298 2.5644
Zn -2.1909 1.2649 2.5644
Zn -2.2010 -1.2707 6.6454
Zn 0.0000 -2.7508 6.4300
Zn -2.3823 1.3754 6.4300
Zn -1.3248 -2.2963 8.8173
Zn -2.6511 0.0009 8.8173
Zn 2.1909 1.2649 2.5644
Zn 0.0000 0.0000 7.5427
Zn 2.2010 -1.2707 6.6454
Zn 0.0000 2.5414 6.6454
Zn 1.3248 -2.2963 8.8173
Zn -1.3263 2.2954 8.8173
Zn 2.3823 1.3754 6.4300
Zn 2.6511 0.0009 8.8173
Zn 1.3263 2.2954 8.8173
Ru 0.0000 0.0000 10.4717
```

Output
**D(E_F)**: 0.878 states/eV/atom
**Total moment**: 4.24 Bohr magnetons per cell
**Energy of formation from the pure elements**: -1.40 kcal/mol of atoms

[8]
# UZnRu2

A geometry-optimized UZnRu2 structure (PBE, Alexandria via LeMat-Bulk).

```
4
Lattice="4.2494 0.0000 0.0000 0.0000 4.2494 0.0000 0.0000 0.0000 3.5669" Properties=species:S:1:pos:R:3 pbc="T T T"
U 0.0000 0.0000 0.0000
Zn 2.1247 2.1247 0.0000
Ru 0.0000 2.1247 1.7834
Ru 2.1247 0.0000 1.7834
```

Output
**D(E_F)**: 0.521 states/eV/atom
**Total moment**: 0.01 Bohr magnetons per cell
**Energy of formation from the pure elements**: -8.51 kcal/mol of atoms

[9]
# UZn17Ru

A geometry-optimized UZn17Ru structure (PBE, Alexandria via LeMat-Bulk).

```
19
Lattice="4.5424 2.6225 4.3286 -4.5424 2.6225 4.3286 0.0000 -5.2451 4.3286" Properties=species:S:1:pos:R:3 pbc="T T T"
U 0.0000 0.0000 0.0000
Zn 0.0000 -2.5773 2.5368
Zn -2.2320 1.2886 2.5368
Zn -2.2270 -1.2857 6.8257
Zn 0.0000 0.0000 3.2275
Zn 0.0000 -2.6910 6.5760
Zn -2.3305 1.3455 6.5760
Zn -1.3168 -2.4033 8.9484
Zn -2.7397 0.0613 8.9484
Zn 0.0000 0.0000 5.9522
Zn 2.2320 1.2886 2.5368
Zn 1.3168 -2.4033 8.9484
Zn -1.4229 2.3420 8.9484
Zn 2.2270 -1.2857 6.8257
Zn 0.0000 2.5715 6.8257
Zn 2.3305 1.3455 6.5760
Zn 2.7397 0.0613 8.9484
Zn 1.4230 2.3420 8.9484
Ru 0.0000 0.0000 10.6306
```

Output
**D(E_F)**: 0.491 states/eV/atom
**Total moment**: 1.47 Bohr magnetons per cell
**Energy of formation from the pure elements**: -0.14 kcal/mol of atoms

[10]
# UZn20Ru2

A geometry-optimized UZn20Ru2 structure (PBE, Alexandria via LeMat-Bulk).

```
46
Lattice="0.0000 7.1310 7.1310 7.1310 0.0000 7.1310 7.1310 7.1310 0.0000" Properties=species:S:1:pos:R:3 pbc="T T T"
U 1.7827 1.7827 1.7827
U 12.4792 12.4792 12.4792
Zn 0.0000 0.0000 0.0000
Zn 3.5655 3.5655 0.0000
Zn 3.5655 0.0000 3.5655
Zn 4.6246 2.7120 2.7120
Zn 7.9844 6.0718 2.7120
Zn 7.9844 2.7120 6.0718
Zn 9.6373 6.2775 6.2775
Zn 11.5499 8.1901 6.2775
Zn 11.5499 6.2775 8.1901
Zn 5.3482 5.3482 3.3939
Zn 5.3482 3.3939 5.3482
Zn 7.3025 5.3482 5.3482
Zn 2.7120 4.6246 2.7120
Zn 6.0718 7.9844 2.7120
Zn 2.7120 2.7120 4.6246
Zn 7.9844 7.9844 4.6246
Zn 6.0718 2.7120 7.9844
Zn 7.9844 4.6246 7.9844
Zn 8.9137 8.9137 6.9594
Zn 8.9137 6.9594 8.9137
Zn 10.8680 8.9137 8.9137
Zn 0.0000 3.5655 3.5655
Zn 3.3939 5.3482 5.3482
Zn 5.3482 7.3025 5.3482
Zn 5.3482 5.3482 7.3025
Zn 6.2775 9.6373 6.2775
Zn 8.1901 11.5499 6.2775
Zn 6.2775 6.2775 9.6373
Zn 11.5499 11.5499 9.6373
Zn 8.1901 6.2775 11.5499
Zn 11.5499 9.6373 11.5499
Zn 6.9594 8.9137 8.9137
Zn 8.9137 10.8680 8.9137
Zn 8.9137 8.9137 10.8680
Zn 2.7120 7.9844 6.0718
Zn 2.7120 6.0718 7.9844
Zn 4.6246 7.9844 7.9844
Zn 6.2775 11.5499 8.1901
Zn 6.2775 8.1901 11.5499
Zn 9.6373 11.5499 11.5499
Ru 7.1310 3.5655 3.5655
Ru 3.5655 7.1310 3.5655
Ru 3.5655 3.5655 7.1310
Ru 7.1310 7.1310 7.1310
```

Output
**D(E_F)**: 0.580 states/eV/atom
**Total moment**: 4.67 Bohr magnetons per cell
**Energy of formation from the pure elements**: -2.67 kcal/mol of atoms

[11]
# UZn4Ru

A geometry-optimized UZn4Ru structure (PBE, Alexandria via LeMat-Bulk).

```
6
Lattice="0.0000 3.6457 3.6457 3.6457 0.0000 3.6457 3.6457 3.6457 0.0000" Properties=species:S:1:pos:R:3 pbc="T T T"
U 0.0000 0.0000 0.0000
Zn 4.5471 2.7443 2.7443
Zn 2.7443 4.5471 2.7443
Zn 2.7443 2.7443 4.5471
Zn 4.5471 4.5471 4.5471
Ru 1.8228 1.8228 1.8228
```

Output
**D(E_F)**: 1.695 states/eV/atom
**Total moment**: 2.01 Bohr magnetons per cell
**Energy of formation from the pure elements**: -0.26 kcal/mol of atoms

[12]
# Zr2URu4

A geometry-optimized Zr2URu4 structure (PBE, Alexandria via LeMat-Bulk).

```
7
Lattice="5.0587 -1.6937 0.0000 5.0587 1.6937 0.0000 -2.4287 0.0000 7.5388" Properties=species:S:1:pos:R:3 pbc="T T T"
Zr 1.6998 0.0000 2.3878
Zr 5.9889 0.0000 5.1511
U 5.0587 0.0000 0.0000
Ru -0.7289 0.0000 6.7613
Ru 3.0305 0.0000 4.8484
Ru 4.6582 0.0000 2.6904
Ru 8.4176 0.0000 0.7776
```

Output
**D(E_F)**: 0.605 states/eV/atom
**Total moment**: 0.00 Bohr magnetons per cell
**Energy of formation from the pure elements**: -4.93 kcal/mol of atoms